# 1
The following is a PBE calculation of a geometry-optimized MgZr4Zn structure, from Alexandria.

Unit cell a=3.197 b=3.197 c=12.850 alpha=90.00 beta=90.00 gamma=90.00
Positions (direct):
Mg: 0.000 0.000 0.000
Zr: 0.000 0.000 0.357
Zr: 0.000 0.000 0.643
Zr: 0.500 0.500 0.185
Zr: 0.500 0.500 0.815
Zn: 0.500 0.500 0.500

Properties
**Space group**: P4/mmm, No. 123
**Energy of formation from the pure elements**: -83.5 meV per atom
**Offset from the most stable computed form**: 0.0000 eV per atom
**Calculated total energy**: -37.56 eV/cell
**Fermi-level density of states**: 5.90 states/eV per cell

=====

# 2
The following is a PBE calculation of a geometry-optimized Ga2SnCl2 structure, from Alexandria.

Unit cell a=8.410 b=8.410 c=3.641 alpha=90.00 beta=90.00 gamma=90.00
Positions (direct):
Ga: 0.180 0.320 0.000
Ga: 0.320 0.820 0.000
Ga: 0.680 0.180 0.000
Ga: 0.820 0.680 0.000
Sn: 0.000 0.000 0.500
Sn: 0.500 0.500 0.500
Cl: 0.143 0.643 0.500
Cl: 0.357 0.143 0.500
Cl: 0.643 0.857 0.500
Cl: 0.857 0.357 0.500

Properties
**Space group**: P4/mbm, No. 127
**Raw formation energy**: -276 meV/atom
**Offset from the most stable computed form**: 0.0076 eV per atom
**Calculated total energy**: -30.26 eV/cell
**Fermi-level density of states**: 2.59 states/eV per cell

=====

# 3
The following is a PBE calculation of a geometry-optimized KLi2CdAg structure, from Alexandria.

Unit cell a=5.212 b=5.212 c=5.406 alpha=90.00 beta=90.00 gamma=90.00
Positions (direct):
K: 0.000 0.000 0.000
Li: 0.000 0.500 0.500
Li: 0.500 0.000 0.500
Cd: 0.500 0.500 0.000
Ag: 0.500 0.500 0.500

Properties
**Space group**: P4/mmm, No. 123
**Energy of formation from the pure elements**: 0.5 meV per atom
**Calculated total energy**: -8.69 eV/cell
**Fermi-level density of states**: 2.23 states/eV per cell

=====

# 4
The following is a PBE calculation of a geometry-optimized PmPr3Se4 structure, from Alexandria.

Unit cell a=8.586 b=12.024 c=4.203 alpha=90.00 beta=90.00 gamma=90.00
Positions (direct):
Pm: 0.000 0.000 0.000
Pm: 0.500 0.500 0.000
Pr: 0.000 0.500 0.000
Pr: 0.250 0.250 0.500
Pr: 0.250 0.750 0.500
Pr: 0.500 0.000 0.000
Pr: 0.750 0.250 0.500
Pr: 0.750 0.750 0.500
Se: 0.000 0.248 0.000
Se: 0.000 0.752 0.000
Se: 0.246 0.000 0.500
Se: 0.254 0.500 0.500
Se: 0.500 0.252 0.000
Se: 0.500 0.748 0.000
Se: 0.746 0.500 0.500
Se: 0.754 0.000 0.500

Properties
**Space group**: Cmmm, No. 65
**Raw formation energy**: -1840 meV/atom
**Offset from the most stable computed form**: 0.0042 eV per atom
**Calculated total energy**: -95.49 eV/cell
**Fermi-level density of states**: 10.38 states/eV per cell

=====

# 5
The following is a PBE calculation of a geometry-optimized La4NdTl2 structure, from Alexandria.

Unit cell a=6.756 b=5.545 c=6.891 alpha=90.00 beta=118.65 gamma=90.00
Positions (direct):
La: 0.047 0.000 0.307
La: 0.208 0.500 0.858
La: 0.792 0.500 0.142
La: 0.953 0.000 0.693
Nd: 0.500 0.500 0.500
Tl: 0.480 0.000 0.206
Tl: 0.520 0.000 0.794

Properties
**Space group**: P2/m, No. 10
**Energy of formation from the pure elements**: -180.3 meV per atom
**Offset from the most stable computed form**: 0.0000 eV per atom
**Calculated total energy**: -30.47 eV/cell
**Fermi-level density of states**: 6.18 states/eV per cell

=====

# 6
The following is a PBE calculation of a geometry-optimized Ho2CrRe3 structure, from Alexandria.

Unit cell a=9.265 b=5.370 c=5.355 alpha=90.00 beta=125.21 gamma=90.00
Positions (direct):
Ho: 0.125 0.000 0.375
Ho: 0.375 0.500 0.625
Ho: 0.625 0.500 0.375
Ho: 0.875 0.000 0.625
Cr: 0.000 0.500 0.000
Cr: 0.500 0.000 0.000
Re: 0.000 0.500 0.500
Re: 0.250 0.250 0.000
Re: 0.250 0.750 0.000
Re: 0.500 0.000 0.500
Re: 0.750 0.250 0.000
Re: 0.750 0.750 0.000

Properties
**Space group**: C2/m, No. 12
**Energy of formation from the pure elements**: -138.8 meV per atom
**Calculated total energy**: -113.91 eV/cell
**Fermi-level density of states**: 5.58 states/eV per cell

=====

# 7
The following is a PBE calculation of a geometry-optimized Li5Ga12Ag2 structure, from Alexandria.

Unit cell a=7.513 b=7.513 c=7.244 alpha=95.22 beta=95.22 gamma=54.92
Positions (direct):
Li: 0.000 0.000 0.000
Li: 0.238 0.238 0.037
Li: 0.352 0.352 0.561
Li: 0.648 0.648 0.439
Li: 0.762 0.762 0.963
Ga: 0.013 0.609 0.289
Ga: 0.154 0.154 0.361
Ga: 0.201 0.591 0.902
Ga: 0.391 0.987 0.711
Ga: 0.409 0.799 0.098
Ga: 0.445 0.445 0.244
Ga: 0.555 0.555 0.756
Ga: 0.591 0.201 0.902
Ga: 0.609 0.013 0.289
Ga: 0.799 0.409 0.098
Ga: 0.846 0.846 0.639
Ga: 0.987 0.391 0.711
Ag: 0.209 0.791 0.500
Ag: 0.791 0.209 0.500

Properties
**Space group**: C2/m, No. 12
**Energy of formation from the pure elements**: -143.2 meV per atom
**Calculated total energy**: -54.32 eV/cell
**Fermi-level density of states**: 5.98 states/eV per cell

=====

# 8
The following is a PBE calculation of a geometry-optimized CaPrZnRu structure, from Alexandria.

Unit cell a=7.138 b=7.138 c=7.138 alpha=90.00 beta=90.00 gamma=90.00
Positions (direct):
Ca: 0.000 0.000 0.000
Ca: 0.000 0.500 0.500
Ca: 0.500 0.000 0.500
Ca: 0.500 0.500 0.000
Pr: 0.000 0.000 0.500
Pr: 0.000 0.500 0.000
Pr: 0.500 0.000 0.000
Pr: 0.500 0.500 0.500
Zn: 0.250 0.250 0.250
Zn: 0.250 0.750 0.750
Zn: 0.750 0.250 0.750
Zn: 0.750 0.750 0.250
Ru: 0.250 0.250 0.750
Ru: 0.250 0.750 0.250
Ru: 0.750 0.250 0.250
Ru: 0.750 0.750 0.750

Properties
**Space group**: F-43m, No. 216
**Energy of formation from the pure elements**: -61.8 meV per atom
**Calculated total energy**: -70.31 eV/cell
**Fermi-level density of states**: 13.65 states/eV per cell

=====

# 9
The following is a PBE calculation of a geometry-optimized PrDy2ErTm structure, from Alexandria.

Unit cell a=7.096 b=7.096 c=7.200 alpha=90.00 beta=90.00 gamma=107.66
Positions (direct):
Pr: 0.229 0.771 0.750
Pr: 0.771 0.229 0.250
Dy: 0.191 0.191 0.000
Dy: 0.191 0.191 0.500
Dy: 0.809 0.809 0.000
Dy: 0.809 0.809 0.500
Er: 0.500 0.500 0.250
Er: 0.500 0.500 0.750
Tm: 0.222 0.778 0.250
Tm: 0.778 0.222 0.750

Properties
**Space group**: Cmcm, No. 63
**Energy of formation from the pure elements**: 381.7 meV per atom
**Calculated total energy**: -42.22 eV/cell
**Fermi-level density of states**: 13.50 states/eV per cell

=====

# 10
The following is a PBE calculation of a geometry-optimized SrIn3Hg structure, from Alexandria.

Unit cell a=5.629 b=5.629 c=5.629 alpha=90.00 beta=90.00 gamma=90.00
Positions (direct):
Sr: 0.000 0.000 0.000
In: 0.000 0.500 0.500
In: 0.500 0.000 0.500
In: 0.500 0.500 0.000
Hg: 0.500 0.500 0.500

Properties
**Space group**: Pm-3m, No. 221
**Energy of formation from the pure elements**: 79.6 meV per atom
**Offset from the most stable computed form**: 0.3883 eV per atom
**Calculated total energy**: -9.80 eV/cell
**Fermi-level density of states**: 2.33 states/eV per cell

=====

# 11
The following is a PBE calculation of a geometry-optimized KH3Au structure, from Alexandria.

Unit cell a=6.098 b=6.098 c=6.658 alpha=90.00 beta=90.00 gamma=129.51
Positions (direct):
K: 0.132 0.868 0.750
K: 0.868 0.132 0.250
H: 0.069 0.778 0.250
H: 0.222 0.931 0.250
H: 0.500 0.500 0.000
H: 0.500 0.500 0.500
H: 0.778 0.069 0.750
H: 0.931 0.222 0.750
Au: 0.437 0.563 0.750
Au: 0.563 0.437 0.250

Properties
**Space group**: Cmcm, No. 63
**Offset from the most stable computed form**: 0.1412 eV per atom
**Calculated total energy**: -29.19 eV/cell
**Fermi-level density of states**: 1.20 states/eV per cell

=====

# 12
The following is a PBE calculation of a geometry-optimized Ti2Pd4Au3 structure, from Alexandria.

Unit cell a=4.893 b=4.893 c=8.551 alpha=106.04 beta=106.04 gamma=47.83
Positions (direct):
Ti: 0.169 0.169 0.222
Ti: 0.831 0.831 0.778
Pd: 0.168 0.168 0.892
Pd: 0.498 0.498 0.676
Pd: 0.502 0.502 0.324
Pd: 0.832 0.832 0.108
Au: 0.168 0.168 0.560
Au: 0.500 0.500 0.000
Au: 0.832 0.832 0.440

Properties
**Space group**: C2/m, No. 12
**Energy of formation from the pure elements**: -488.3 meV per atom
**Offset from the most stable computed form**: 0.0000 eV per atom
**Calculated total energy**: -50.79 eV/cell
**Fermi-level density of states**: 5.09 states/eV per cell

=====

# 13
The following is a PBE calculation of a geometry-optimized BaCa2ZnCu structure, from Alexandria.

Unit cell a=5.655 b=5.655 c=4.979 alpha=90.00 beta=90.00 gamma=90.00
Positions (direct):
Ba: 0.000 0.000 0.000
Ca: 0.000 0.500 0.500
Ca: 0.500 0.000 0.500
Zn: 0.500 0.500 0.000
Cu: 0.500 0.500 0.500

Properties
**Space group**: P4/mmm, No. 123
**Energy of formation from the pure elements**: 25.6 meV per atom
**Calculated total energy**: -11.17 eV/cell
**Fermi-level density of states**: 4.57 states/eV per cell

=====

# 14
The following is a PBE calculation of a geometry-optimized Mn2ZnPt structure, from Alexandria.

Unit cell a=3.941 b=3.941 c=3.755 alpha=90.00 beta=90.00 gamma=90.00
Positions (direct):
Mn: 0.000 0.500 0.000
Mn: 0.500 0.000 0.000
Zn: 0.000 0.000 0.500
Pt: 0.500 0.500 0.500

Properties
**Space group**: P4/mmm, No. 123
**Energy of formation from the pure elements**: -183.6 meV per atom
**Calculated total energy**: -26.39 eV/cell
**Fermi-level density of states**: 2.72 states/eV per cell

=====

# 15
The following is a PBE calculation of a geometry-optimized SrAg2O2 structure, from Alexandria.

Unit cell a=3.850 b=3.850 c=8.056 alpha=90.00 beta=90.00 gamma=120.00
Positions (direct):
Sr: 0.000 0.000 0.000
Ag: 0.333 0.667 0.397
Ag: 0.667 0.333 0.603
O: 0.333 0.667 0.148
O: 0.667 0.333 0.852

Properties
**Space group**: P-3m1, No. 164
**Raw formation energy**: -909 meV/atom
**Offset from the most stable computed form**: 0.2348 eV per atom
**Calculated total energy**: -21.85 eV/cell
**Fermi-level density of states**: 2.91 states/eV per cell

=====

# 16
The following is a PBE calculation of a geometry-optimized BaLi4Hg4 structure, from Alexandria.

Unit cell a=7.003 b=7.003 c=7.003 alpha=97.36 beta=97.36 gamma=138.07
Positions (direct):
Ba: 0.000 0.000 0.000
Li: 0.096 0.612 0.708
Li: 0.388 0.096 0.483
Li: 0.612 0.904 0.517
Li: 0.904 0.388 0.292
Hg: 0.225 0.349 0.574
Hg: 0.349 0.775 0.124
Hg: 0.651 0.225 0.876
Hg: 0.775 0.651 0.426

Properties
**Space group**: I4/m, No. 87
**Energy of formation from the pure elements**: -338.1 meV per atom
**Calculated total energy**: -13.83 eV/cell
**Fermi-level density of states**: 4.69 states/eV per cell

=====

# 17
The following is a PBE calculation of a geometry-optimized MgBeFe2 structure, from Alexandria.

Unit cell a=2.612 b=2.612 c=24.655 alpha=90.00 beta=90.00 gamma=120.00
Positions (direct):
Mg: 0.000 0.000 0.000
Mg: 0.333 0.667 0.667
Mg: 0.667 0.333 0.333
Be: 0.000 0.000 0.500
Be: 0.333 0.667 0.167
Be: 0.667 0.333 0.833
Fe: 0.000 0.000 0.241
Fe: 0.000 0.000 0.759
Fe: 0.333 0.667 0.426
Fe: 0.333 0.667 0.908
Fe: 0.667 0.333 0.092
Fe: 0.667 0.333 0.574

Properties
**Space group**: R-3m, No. 166
**Energy of formation from the pure elements**: 268.4 meV per atom
**Offset from the most stable computed form**: 0.1986 eV per atom
**Calculated total energy**: -63.52 eV/cell
**Fermi-level density of states**: 9.17 states/eV per cell

=====

# 18
The following is a PBE calculation of a geometry-optimized Ac3Sn7Pd2 structure, from Alexandria.

Unit cell a=4.812 b=4.793 c=14.672 alpha=90.00 beta=99.39 gamma=90.00
Positions (direct):
Ac: 0.000 0.000 0.000
Ac: 0.317 0.500 0.634
Ac: 0.683 0.500 0.366
Sn: 0.088 0.500 0.173
Sn: 0.221 0.000 0.443
Sn: 0.414 0.000 0.826
Sn: 0.500 0.500 0.000
Sn: 0.586 0.000 0.174
Sn: 0.779 0.000 0.557
Sn: 0.912 0.500 0.827
Pd: 0.128 0.000 0.259
Pd: 0.872 0.000 0.741

Properties
**Space group**: P2/m, No. 10
**Energy of formation from the pure elements**: -686.7 meV per atom
**Calculated total energy**: -58.97 eV/cell
**Fermi-level density of states**: 5.24 states/eV per cell

=====

# 19
The following is a PBE calculation of a geometry-optimized NaLiSnI4 structure, from Alexandria.

Unit cell a=9.169 b=9.169 c=9.169 alpha=120.68 beta=119.56 gamma=89.79
Positions (direct):
Na: 0.500 0.000 0.000
Na: 0.500 0.500 0.500
Li: 0.109 0.359 0.750
Li: 0.891 0.641 0.250
Sn: 0.000 0.000 0.000
Sn: 0.500 0.000 0.500
I: 0.249 0.249 0.500
I: 0.249 0.749 0.000
I: 0.251 0.246 0.005
I: 0.259 0.754 0.505
I: 0.741 0.246 0.495
I: 0.749 0.754 0.995
I: 0.751 0.251 0.000
I: 0.751 0.751 0.500

Properties
**Space group**: Imma, No. 74
**Raw formation energy**: -908 meV/atom
**Calculated total energy**: -39.58 eV/cell
**Fermi-level density of states**: 0.00 states/eV per cell

=====

# 20
The following is a PBE calculation of a geometry-optimized RbCuAs2Os structure, from Alexandria.

Unit cell a=4.734 b=4.734 c=5.164 alpha=90.00 beta=90.00 gamma=90.00
Positions (direct):
Rb: 0.000 0.000 0.000
Cu: 0.000 0.000 0.500
As: 0.000 0.500 0.500
As: 0.500 0.000 0.500
Os: 0.500 0.500 0.000

Properties
**Space group**: P4/mmm, No. 123
**Energy of formation from the pure elements**: 1464.3 meV per atom
**Calculated total energy**: -18.27 eV/cell
**Fermi-level density of states**: 6.94 states/eV per cell